Record 1
Material: Sr2TcN2
Method: DFT, PBE
State: optimized geometry

Cell and atoms, written as POSCAR:
```
Sr2TcN2
1.0
6.572 0.000 0.000
0.000 5.443 0.000
0.000 0.000 10.619
Sr Tc N
8 4 8
Direct
0.048 0.250 0.210 Sr
0.187 0.250 0.552 Sr
0.313 0.750 0.052 Sr
0.452 0.750 0.710 Sr
0.548 0.250 0.290 Sr
0.687 0.250 0.948 Sr
0.813 0.750 0.448 Sr
0.952 0.750 0.790 Sr
0.225 0.250 0.852 Tc
0.275 0.750 0.352 Tc
0.725 0.250 0.648 Tc
0.775 0.750 0.148 Tc
0.036 0.750 0.242 N
0.204 0.750 0.520 N
0.296 0.250 0.020 N
0.464 0.250 0.742 N
0.536 0.750 0.258 N
0.704 0.750 0.980 N
0.796 0.250 0.480 N
0.964 0.250 0.758 N
```

Output
Its uncorrected formation energy is -571 meV/atom. For the total magnetic moment, the calculation gives 0.00 μB/f.u.

=====

Record 2
Material: La2Ag2I
Method: DFT, PBE
State: optimized geometry

Cell and atoms, written as POSCAR:
```
La2Ag2I
1.0
8.677 0.000 0.000
0.000 8.677 0.000
0.000 0.000 4.081
La Ag I
4 4 2
Direct
0.167 0.333 0.000 La
0.333 0.833 0.000 La
0.667 0.167 0.000 La
0.833 0.667 0.000 La
0.121 0.621 0.500 Ag
0.379 0.121 0.500 Ag
0.621 0.879 0.500 Ag
0.879 0.379 0.500 Ag
0.000 0.000 0.000 I
0.500 0.500 0.000 I
```

Output
Its uncorrected formation energy is -452 meV/atom. For the total magnetic moment, the calculation gives 0.00 μB/f.u.

=====

Record 3
Material: NaLi2TaC
Method: DFT, PBE
State: optimized geometry

Cell and atoms, written as POSCAR:
```
NaLi2TaC
1.0
4.404 0.000 0.000
0.000 4.404 0.000
0.000 0.000 4.226
Na Li Ta C
1 2 1 1
Direct
0.000 0.000 0.000 Na
0.000 0.500 0.500 Li
0.500 0.000 0.500 Li
0.500 0.500 0.000 Ta
0.500 0.500 0.500 C
```

Output
Its energy relative to the elements is 2.3 eV per formula unit. For the total magnetic moment, the calculation gives 0.00 μB/f.u.

=====

Record 4
Material: Te2OsC
Method: DFT, PBE
State: optimized geometry

Cell and atoms, written as POSCAR:
```
Te2OsC
1.0
3.226 0.000 0.000
-1.613 2.793 0.000
0.000 0.000 24.733
Te Os C
6 3 3
Direct
0.000 0.000 0.103 Te
0.000 0.000 0.897 Te
0.333 0.667 0.564 Te
0.333 0.667 0.770 Te
0.667 0.333 0.230 Te
0.667 0.333 0.436 Te
0.000 0.000 0.000 Os
0.333 0.667 0.667 Os
0.667 0.333 0.333 Os
0.000 0.000 0.500 C
0.333 0.667 0.167 C
0.667 0.333 0.833 C
```

Output
Its uncorrected formation energy is 1715 meV/atom. For the total magnetic moment, the calculation gives 0.00 μB/f.u.

=====

Record 5
Material: SmErZr2
Method: DFT, PBE
State: optimized geometry

Cell and atoms, written as POSCAR:
```
SmErZr2
1.0
3.941 0.000 0.000
0.000 3.941 0.000
0.000 0.000 6.917
Sm Er Zr
1 1 2
Direct
0.000 0.000 0.000 Sm
0.000 0.000 0.500 Er
0.500 0.500 0.274 Zr
0.500 0.500 0.726 Zr
```

Output
Its energy relative to the elements is 0.9 eV per formula unit. For the total magnetic moment, the calculation gives 0.00 μB/f.u.

=====

Record 6
Material: KPaNb2O7
Method: DFT, PBE
State: optimized geometry

Cell and atoms, written as POSCAR:
```
KPaNb2O7
1.0
3.898 0.000 0.000
0.000 3.898 0.000
0.000 0.000 11.208
K Pa Nb O
1 1 2 7
Direct
0.000 0.000 0.000 K
0.000 0.000 0.500 Pa
0.500 0.500 0.298 Nb
0.500 0.500 0.702 Nb
0.000 0.500 0.348 O
0.000 0.500 0.652 O
0.500 0.000 0.348 O
0.500 0.000 0.652 O
0.500 0.500 0.136 O
0.500 0.500 0.500 O
0.500 0.500 0.864 O
```

Output
Its uncorrected formation energy is -2609 meV/atom. For the total magnetic moment, the calculation gives 1.05 μB/f.u.

=====

Record 7
Material: Hf3MgPt12
Method: DFT, PBE
State: optimized geometry

Cell and atoms, written as POSCAR:
```
Hf3MgPt12
1.0
4.013 0.000 0.000
0.000 4.013 0.000
0.000 0.000 16.058
Hf Mg Pt
3 1 12
Direct
0.000 0.000 0.000 Hf
0.000 0.000 0.256 Hf
0.000 0.000 0.744 Hf
0.000 0.000 0.500 Mg
0.000 0.500 0.126 Pt
0.000 0.500 0.376 Pt
0.000 0.500 0.624 Pt
0.000 0.500 0.874 Pt
0.500 0.000 0.126 Pt
0.500 0.000 0.376 Pt
0.500 0.000 0.624 Pt
0.500 0.000 0.874 Pt
0.500 0.500 0.000 Pt
0.500 0.500 0.250 Pt
0.500 0.500 0.500 Pt
0.500 0.500 0.750 Pt
```

Output
Its energy relative to the elements is -16.2 eV per formula unit. For the total magnetic moment, the calculation gives 0.00 μB/f.u.

=====

Repeat the first record exactly.
Material: Sr2TcN2
Method: DFT, PBE
State: optimized geometry

Cell and atoms, written as POSCAR:
```
Sr2TcN2
1.0
6.572 0.000 0.000
0.000 5.443 0.000
0.000 0.000 10.619
Sr Tc N
8 4 8
Direct
0.048 0.250 0.210 Sr
0.187 0.250 0.552 Sr
0.313 0.750 0.052 Sr
0.452 0.750 0.710 Sr
0.548 0.250 0.290 Sr
0.687 0.250 0.948 Sr
0.813 0.750 0.448 Sr
0.952 0.750 0.790 Sr
0.225 0.250 0.852 Tc
0.275 0.750 0.352 Tc
0.725 0.250 0.648 Tc
0.775 0.750 0.148 Tc
0.036 0.750 0.242 N
0.204 0.750 0.520 N
0.296 0.250 0.020 N
0.464 0.250 0.742 N
0.536 0.750 0.258 N
0.704 0.750 0.980 N
0.796 0.250 0.480 N
0.964 0.250 0.758 N
```

Output
Its uncorrected formation energy is -571 meV/atom. For the total magnetic moment, the calculation gives 0.00 μB/f.u.

=====

Question: Which value of total magnetic moment does entry 2 give?
Answer: 0.00 μB/f.u.

=====

Question: What is the formula in the sixth record?
Answer: KPaNb2O7

=====

Question: Number 5 is which compound?
Answer: SmErZr2